This record from the Alexandria database describes crystalline Tc2GeN at its relaxed geometry. The functional is PBE-GGA.

The structure in POSCAR format:
```
Tc2GeN
1.0
2.911 0.000 0.000
-1.455 2.521 0.000
0.000 0.000 20.414
Tc Ge N
6 3 3
direct
0.000 0.000 0.231 Tc
0.000 0.000 0.769 Tc
0.333 0.667 0.435 Tc
0.333 0.667 0.898 Tc
0.667 0.333 0.102 Tc
0.667 0.333 0.565 Tc
0.000 0.000 0.000 Ge
0.333 0.667 0.667 Ge
0.667 0.333 0.333 Ge
0.000 0.000 0.500 N
0.333 0.667 0.167 N
0.667 0.333 0.833 N
```

Computed properties:
Its volume is 149.8 Å³/cell. The formation energy without anion corrections is 125.7 meV per atom. The crystal system is trigonal. Its density of states at the Fermi level is 0.77 states/eV/atom. The distance to the lowest polymorph of the same formula comes out at 0 meV per atom.